Here is an optimized crystal structure of NdInCl4 from Alexandria via LeMat-Bulk. Energies are from GGA-PBE.

The structure in POSCAR format:
```
NdInCl4
1.0
6.460 0.003 -2.329
-0.560 7.337 -1.536
-0.376 -0.408 9.067
Nd In Cl
2 2 8
Direct
0.500 0.000 0.500 Nd
0.000 0.500 0.500 Nd
0.726 0.750 0.000 In
0.274 0.250 0.000 In
0.499 0.036 0.804 Cl
0.694 0.464 0.195 Cl
0.501 0.964 0.196 Cl
0.306 0.536 0.805 Cl
0.876 0.841 0.613 Cl
0.263 0.659 0.386 Cl
0.124 0.159 0.387 Cl
0.737 0.341 0.614 Cl
```

ΔE_f (raw) in eV/atom: -1.78
N(E_F) in states/eV per cell: 0.00
Symmetry: C2/c (15)